The following is a PBE calculation of an optimized crystal structure of Li2Rh2Pb, from Alexandria via LeMat-Bulk.

The structure in extended XYZ format:
```
10
Lattice="6.899 0.000 0.000 0.000 6.899 0.000 0.000 0.000 3.415" Properties=species:S:1:pos:R:3 pbc="T T T"
Li 1.074 2.376 0.000
Li 2.376 5.826 0.000
Li 4.524 1.074 0.000
Li 5.826 4.524 0.000
Rh 0.947 4.397 1.708
Rh 2.503 0.947 1.708
Rh 4.397 5.952 1.708
Rh 5.952 2.503 1.708
Pb 0.000 0.000 1.708
Pb 3.450 3.450 1.708
```

Calculated values
ΔE_f = -0.109 eV per atom
distance to the lowest polymorph of the same formula = 0.000 eV per formula unit


The following is a PBE calculation of an optimized crystal structure of LiRhPb, from Alexandria via LeMat-Bulk.

The structure in extended XYZ format:
```
3
Lattice="3.813 -2.223 0.000 3.813 2.223 0.000 -2.531 0.000 3.642" Properties=species:S:1:pos:R:3 pbc="T T T"
Li 0.000 0.000 0.000
Rh 0.014 0.000 2.726
Pb 2.567 0.000 1.804
```

Calculated values
ΔE_f = -0.106 eV per atom


The following is a PBE calculation of an optimized crystal structure of LiRhPb, from Alexandria via LeMat-Bulk.

The structure in extended XYZ format:
```
3
Lattice="4.437 0.000 0.000 -2.219 3.843 0.000 0.000 0.000 3.073" Properties=species:S:1:pos:R:3 pbc="T T T"
Li 0.000 0.000 0.000
Rh 0.000 2.562 2.224
Pb 2.219 1.281 1.139
```

Calculated values
ΔE_f = -0.138 eV per atom


The following is a PBE calculation of an optimized crystal structure of Li2Rh2Pb, from Alexandria via LeMat-Bulk.

The structure in extended XYZ format:
```
5
Lattice="-1.685 1.685 7.104 1.685 -1.685 7.104 1.685 1.685 -7.104" Properties=species:S:1:pos:R:3 pbc="T T T"
Li 1.685 0.000 3.552
Li 0.000 1.685 3.552
Rh 0.000 0.000 1.507
Rh 0.000 0.000 12.700
Pb 0.000 0.000 7.104
```

Calculated values
ΔE_f = 0.098 eV per atom
distance to the lowest polymorph of the same formula = 1.031 eV per formula unit


The following is a PBE calculation of an optimized crystal structure of LiRhPb2, from Alexandria via LeMat-Bulk.

The structure in extended XYZ format:
```
8
Lattice="-3.989 3.989 3.071 3.989 -3.989 3.071 3.989 3.989 -3.071" Properties=species:S:1:pos:R:3 pbc="T T T"
Li 0.000 0.000 0.000
Li 0.000 3.989 1.535
Rh 3.989 0.000 1.535
Rh 0.000 0.000 3.071
Pb 1.995 -1.643 2.303
Pb 2.346 1.995 0.768
Pb 1.995 5.633 -0.768
Pb 1.643 1.995 3.839
```

Calculated values
ΔE_f = 0.072 eV per atom


The following is a PBE calculation of an optimized crystal structure of LiRhPb2, from Alexandria via LeMat-Bulk.

The structure in extended XYZ format:
```
4
Lattice="3.345 -3.396 0.000 3.345 3.396 0.000 -0.025 0.000 3.592" Properties=species:S:1:pos:R:3 pbc="T T T"
Li 0.000 0.000 0.000
Rh 3.345 0.000 0.000
Pb 1.660 1.698 1.796
Pb 1.660 -1.698 1.796
```

Calculated values
ΔE_f = -0.049 eV per atom


The following is a PBE calculation of an optimized crystal structure of LiRhPb2, from Alexandria via LeMat-Bulk.

The structure in extended XYZ format:
```
4
Lattice="0.000 3.507 3.507 3.507 0.000 3.507 3.507 3.507 0.000" Properties=species:S:1:pos:R:3 pbc="T T T"
Li 0.000 0.000 0.000
Rh 1.753 1.753 1.753
Pb 3.507 3.507 3.507
Pb 5.260 5.260 5.260
```

Calculated values
ΔE_f = 0.110 eV per atom


The following is a PBE calculation of an optimized crystal structure of Li4RhPb, from Alexandria via LeMat-Bulk.

The structure in extended XYZ format:
```
6
Lattice="0.000 3.542 3.542 3.542 0.000 3.542 3.542 3.542 0.000" Properties=species:S:1:pos:R:3 pbc="T T T"
Li 2.673 2.673 2.673
Li 4.412 4.412 2.673
Li 4.412 2.673 4.412
Li 2.673 4.412 4.412
Rh 5.314 5.314 5.314
Pb 0.000 0.000 0.000
```

Calculated values
ΔE_f = -0.099 eV per atom
distance to the lowest polymorph of the same formula = 0.885 eV per formula unit